Entry 1:
Compound: RbOsCl6
Source: OQMD via LeMat-Bulk
Functional: PBE
Structure: relaxed

Results
crystal system = trigonal
M_tot = 3.00 μB/f.u.
E_tot = -29.94 eV per cell

```
data_RbOsCl6
_chemical_formula_sum 'Rb1 Os1 Cl6'
_symmetry_space_group_name_H-M 'P 1'
_symmetry_Int_Tables_number 1
_cell_length_a 7.3176
_cell_length_b 7.3176
_cell_length_c 7.3176
_cell_angle_alpha 55.54
_cell_angle_beta 55.54
_cell_angle_gamma 55.54
loop_
_symmetry_equiv_pos_as_xyz
'x,y,z'
loop_
_atom_site_label
_atom_site_type_symbol
_atom_site_fract_x
_atom_site_fract_y
_atom_site_fract_z
_atom_site_occupancy
Rb1 Rb 0.0000 0.0000 0.0000 1
Os1 Os 0.5000 0.5000 0.5000 1
Cl1 Cl 0.1076 0.5876 0.5876 1
Cl2 Cl 0.4124 0.4124 0.8924 1
Cl3 Cl 0.4124 0.8924 0.4124 1
Cl4 Cl 0.5876 0.1076 0.5876 1
Cl5 Cl 0.5876 0.5876 0.1076 1
Cl6 Cl 0.8924 0.4124 0.4124 1
```

***

Entry 2:
Compound: SrBeTlAu
Source: OQMD via LeMat-Bulk
Functional: PBE
Structure: relaxed

Results
crystal system = cubic
E_tot = -42.61 eV per cell

```
data_SrBeTlAu
_chemical_formula_sum 'Sr4 Be4 Tl4 Au4'
_symmetry_space_group_name_H-M 'P 1'
_symmetry_Int_Tables_number 1
_cell_length_a 7.1823
_cell_length_b 7.1823
_cell_length_c 7.1823
_cell_angle_alpha 90.00
_cell_angle_beta 90.00
_cell_angle_gamma 90.00
loop_
_symmetry_equiv_pos_as_xyz
'x,y,z'
loop_
_atom_site_label
_atom_site_type_symbol
_atom_site_fract_x
_atom_site_fract_y
_atom_site_fract_z
_atom_site_occupancy
Sr1 Sr 0.0000 0.0000 0.0000 1
Sr2 Sr 0.0000 0.5000 0.5000 1
Sr3 Sr 0.5000 0.0000 0.5000 1
Sr4 Sr 0.5000 0.5000 0.0000 1
Be1 Be 0.0000 0.0000 0.5000 1
Be2 Be 0.0000 0.5000 0.0000 1
Be3 Be 0.5000 0.0000 0.0000 1
Be4 Be 0.5000 0.5000 0.5000 1
Tl1 Tl 0.2500 0.2500 0.7500 1
Tl2 Tl 0.2500 0.7500 0.2500 1
Tl3 Tl 0.7500 0.2500 0.2500 1
Tl4 Tl 0.7500 0.7500 0.7500 1
Au1 Au 0.2500 0.2500 0.2500 1
Au2 Au 0.2500 0.7500 0.7500 1
Au3 Au 0.7500 0.2500 0.7500 1
Au4 Au 0.7500 0.7500 0.2500 1
```

***

Entry 3:
Compound: PrBeNO
Source: OQMD via LeMat-Bulk
Functional: PBE
Structure: relaxed

Results
crystal system = tetragonal
M_tot = 0.00 μB/f.u.
E_tot = -53.45 eV per cell

```
data_PrBeNO
_chemical_formula_sum 'Pr2 Be2 N2 O2'
_symmetry_space_group_name_H-M 'P 1'
_symmetry_Int_Tables_number 1
_cell_length_a 4.8324
_cell_length_b 4.8324
_cell_length_c 4.8056
_cell_angle_alpha 90.00
_cell_angle_beta 90.00
_cell_angle_gamma 90.00
loop_
_symmetry_equiv_pos_as_xyz
'x,y,z'
loop_
_atom_site_label
_atom_site_type_symbol
_atom_site_fract_x
_atom_site_fract_y
_atom_site_fract_z
_atom_site_occupancy
Pr1 Pr 0.2500 0.7500 0.0000 1
Pr2 Pr 0.7500 0.2500 0.0000 1
Be1 Be 0.2500 0.2500 0.4136 1
Be2 Be 0.7500 0.7500 0.5864 1
N1 N 0.2500 0.2500 0.0926 1
N2 N 0.7500 0.7500 0.9074 1
O1 O 0.2500 0.7500 0.5000 1
O2 O 0.7500 0.2500 0.5000 1
```

***

Entry 4:
Compound: PuNiB
Source: OQMD via LeMat-Bulk
Functional: PBE
Structure: relaxed

Results
crystal system = cubic
M_tot = 4.23 μB/f.u.
E_tot = -100.14 eV per cell

```
data_PuNiB
_chemical_formula_sum 'Pu4 Ni4 B4'
_symmetry_space_group_name_H-M 'P 1'
_symmetry_Int_Tables_number 1
_cell_length_a 5.7863
_cell_length_b 5.7863
_cell_length_c 5.7863
_cell_angle_alpha 90.00
_cell_angle_beta 90.00
_cell_angle_gamma 90.00
loop_
_symmetry_equiv_pos_as_xyz
'x,y,z'
loop_
_atom_site_label
_atom_site_type_symbol
_atom_site_fract_x
_atom_site_fract_y
_atom_site_fract_z
_atom_site_occupancy
Pu1 Pu 0.0000 0.0000 0.0000 1
Pu2 Pu 0.0000 0.5000 0.5000 1
Pu3 Pu 0.5000 0.0000 0.5000 1
Pu4 Pu 0.5000 0.5000 0.0000 1
Ni1 Ni 0.2500 0.2500 0.2500 1
Ni2 Ni 0.2500 0.7500 0.7500 1
Ni3 Ni 0.7500 0.2500 0.7500 1
Ni4 Ni 0.7500 0.7500 0.2500 1
B1 B 0.0000 0.0000 0.5000 1
B2 B 0.0000 0.5000 0.0000 1
B3 B 0.5000 0.0000 0.0000 1
B4 B 0.5000 0.5000 0.5000 1
```